No. 1
Density functional theory data (GGA-PBEsol) for ReTc2 after structural relaxation.

The structure in CIF format:
```
data_ReTc2
_chemical_formula_sum 'Re1 Tc2'
_symmetry_space_group_name_H-M 'P 6/m m m'
_symmetry_Int_Tables_number 191
_symmetry_space_group_name_Hall '-P 6 2'
_cell_length_a 4.2834
_cell_length_b 4.2834
_cell_length_c 2.6961
_cell_angle_alpha 90.00
_cell_angle_beta 90.00
_cell_angle_gamma 120.00
loop_
_atom_site_label
_atom_site_type_symbol
_atom_site_fract_x
_atom_site_fract_y
_atom_site_fract_z
Re1 Re 0.0000 0.0000 0.0000
Tc1 Tc 0.3333 0.6667 0.5000
```

Output
The calculated volume comes out at 43 Å³/f.u. Its density of states at the Fermi level is 2.482 states/eV/f.u. The total energy comes out at -11.854 eV per atom. As for the total magnetic moment: 0.00 μB/atom.

***

No. 2
Density functional theory data (GGA-PBEsol) for ReTc2 after structural relaxation.

The structure in CIF format:
```
data_ReTc2
_chemical_formula_sum 'Re4 Tc8'
_symmetry_space_group_name_H-M 'C m c m'
_symmetry_Int_Tables_number 63
_symmetry_space_group_name_Hall '-C 2c 2'
_cell_length_a 3.847
_cell_length_b 11.546
_cell_length_c 3.846
_cell_angle_alpha 90.00
_cell_angle_beta 90.00
_cell_angle_gamma 90.00
loop_
_atom_site_label
_atom_site_type_symbol
_atom_site_fract_x
_atom_site_fract_y
_atom_site_fract_z
Re1 Re 0.000 0.084 0.250
Tc1 Tc 0.000 0.250 0.750
Tc2 Tc 0.000 0.416 0.250
```

Output
The calculated volume comes out at 43 Å³/f.u. Its density of states at the Fermi level is 2.842 states/eV/f.u. The total energy comes out at -11.890 eV per atom. As for the total magnetic moment: 0.00 μB/atom.

***

No. 3
Density functional theory data (GGA-PBEsol) for Re3Tc after structural relaxation.

The structure in CIF format:
```
data_Re3Tc
_chemical_formula_sum 'Re6 Tc2'
_symmetry_space_group_name_H-M 'C m m m'
_symmetry_Int_Tables_number 65
_symmetry_space_group_name_Hall '-C 2 2'
_cell_length_a 5.473
_cell_length_b 7.753
_cell_length_c 2.733
_cell_angle_alpha 90.00
_cell_angle_beta 90.00
_cell_angle_gamma 90.00
loop_
_atom_site_label
_atom_site_type_symbol
_atom_site_fract_x
_atom_site_fract_y
_atom_site_fract_z
Re1 Re 0.000 0.000 0.000
Re2 Re 0.250 0.250 0.500
Tc1 Tc 0.000 0.500 0.000
```

Output
The calculated volume comes out at 58 Å³/f.u. Its density of states at the Fermi level is 3.543 states/eV/f.u. The total energy comes out at -12.755 eV per atom. As for the total magnetic moment: 0.00 μB/atom.

***

No. 4
Density functional theory data (GGA-PBEsol) for Re2Tc after structural relaxation.

The structure in CIF format:
```
data_Re2Tc
_chemical_formula_sum 'Re8 Tc4'
_symmetry_space_group_name_H-M 'C 1 2/m 1'
_symmetry_Int_Tables_number 12
_symmetry_space_group_name_Hall '-C 2y'
_cell_length_a 10.034
_cell_length_b 2.743
_cell_length_c 6.485
_cell_angle_alpha 90.00
_cell_angle_beta 104.67
_cell_angle_gamma 90.00
loop_
_atom_site_label
_atom_site_type_symbol
_atom_site_fract_x
_atom_site_fract_y
_atom_site_fract_z
Re1 Re 0.028 0.000 0.307
Re2 Re 0.140 0.500 0.027
Tc1 Tc 0.195 0.500 0.637
```

Output
The calculated volume comes out at 43 Å³/f.u. Its density of states at the Fermi level is 2.719 states/eV/f.u. The total energy comes out at -12.647 eV per atom. As for the total magnetic moment: 0.00 μB/atom.

***

No. 5
Density functional theory data (GGA-PBEsol) for Re3Tc after structural relaxation.

The structure in CIF format:
```
data_Re3Tc
_chemical_formula_sum 'Re6 Tc2'
_symmetry_space_group_name_H-M 'I m m 2'
_symmetry_Int_Tables_number 44
_symmetry_space_group_name_Hall 'I 2 -2'
_cell_length_a 2.742
_cell_length_b 8.851
_cell_length_c 4.762
_cell_angle_alpha 90.00
_cell_angle_beta 90.00
_cell_angle_gamma 90.00
loop_
_atom_site_label
_atom_site_type_symbol
_atom_site_fract_x
_atom_site_fract_y
_atom_site_fract_z
Re1 Re 0.000 0.000 0.000
Re2 Re 0.000 0.249 0.331
Tc1 Tc 0.000 0.500 0.997
```

Output
The calculated volume comes out at 58 Å³/f.u. Its density of states at the Fermi level is 3.536 states/eV/f.u. The total energy comes out at -12.820 eV per atom. As for the total magnetic moment: 0.00 μB/atom.

***

No. 6
Density functional theory data (GGA-PBEsol) for ReTc2 after structural relaxation.

The structure in CIF format:
```
data_ReTc2
_chemical_formula_sum 'Re2 Tc4'
_symmetry_space_group_name_H-M 'I 4/m m m'
_symmetry_Int_Tables_number 139
_symmetry_space_group_name_Hall '-I 4 2'
_cell_length_a 2.721
_cell_length_b 2.721
_cell_length_c 11.532
_cell_angle_alpha 90.00
_cell_angle_beta 90.00
_cell_angle_gamma 90.00
loop_
_atom_site_label
_atom_site_type_symbol
_atom_site_fract_x
_atom_site_fract_y
_atom_site_fract_z
Re1 Re 0.000 0.000 0.000
Tc1 Tc 0.000 0.000 0.332
```

Output
The calculated volume comes out at 43 Å³/f.u. Its density of states at the Fermi level is 2.872 states/eV/f.u. The total energy comes out at -11.886 eV per atom. As for the total magnetic moment: 0.00 μB/atom.

***

No. 7
Density functional theory data (GGA-PBEsol) for Re2Tc3 after structural relaxation.

The structure in CIF format:
```
data_Re2Tc3
_chemical_formula_sum 'Re16 Tc24'
_symmetry_space_group_name_H-M 'F d d 2'
_symmetry_Int_Tables_number 43
_symmetry_space_group_name_Hall 'F 2 -2d'
_cell_length_a 9.194
_cell_length_b 12.947
_cell_length_c 4.837
_cell_angle_alpha 90.00
_cell_angle_beta 90.00
_cell_angle_gamma 90.00
loop_
_atom_site_label
_atom_site_type_symbol
_atom_site_fract_x
_atom_site_fract_y
_atom_site_fract_z
Re1 Re 0.031 0.199 0.000
Tc1 Tc 0.000 0.000 0.062
Tc2 Tc 0.056 0.098 0.540
```

Output
The calculated volume comes out at 72 Å³/f.u. Its density of states at the Fermi level is 3.803 states/eV/f.u. The total energy comes out at -12.014 eV per atom. As for the total magnetic moment: 0.00 μB/atom.

***

No. 8
Density functional theory data (GGA-PBEsol) for ReTc2 after structural relaxation.

The structure in CIF format:
```
data_ReTc2
_chemical_formula_sum 'Re8 Tc16'
_symmetry_space_group_name_H-M 'I 41/a m d'
_symmetry_Int_Tables_number 141
_cell_length_a 3.847
_cell_length_b 3.847
_cell_length_c 23.088
_cell_angle_alpha 90.00
_cell_angle_beta 90.00
_cell_angle_gamma 90.00
loop_
_symmetry_equiv_pos_as_xyz
'x,y,z'
'-x,-y,-z'
'-y+1/4,x+3/4,z+1/4'
'y+1/4,-x+3/4,-z+1/4'
'-x+1/2,-y,z+1/2'
'x+1/2,y,-z+1/2'
'y+1/4,-x+1/4,z+3/4'
'-y+1/4,x+1/4,-z+3/4'
'x,-y,-z'
'-x,y,z'
'-y+1/4,-x+1/4,-z+3/4'
'y+1/4,x+1/4,z+3/4'
'-x+1/2,y,-z+1/2'
'x+1/2,-y,z+1/2'
'y+1/4,x+3/4,-z+1/4'
'-y+1/4,-x+3/4,z+1/4'
'x+1/2,y+1/2,z+1/2'
'-x+1/2,-y+1/2,-z+1/2'
'-y+3/4,x+1/4,z+3/4'
'y+3/4,-x+1/4,-z+3/4'
'-x,-y+1/2,z'
'x,y+1/2,-z'
'y+3/4,-x+3/4,z+1/4'
'-y+3/4,x+3/4,-z+1/4'
'x+1/2,-y+1/2,-z+1/2'
'-x+1/2,y+1/2,z+1/2'
'-y+3/4,-x+3/4,-z+1/4'
'y+3/4,x+3/4,z+1/4'
'-x,y+1/2,-z'
'x,-y+1/2,z'
'y+3/4,x+1/4,-z+3/4'
'-y+3/4,-x+1/4,z+3/4'
loop_
_atom_site_label
_atom_site_type_symbol
_atom_site_fract_x
_atom_site_fract_y
_atom_site_fract_z
Re1 Re 0.000 0.250 0.292
Tc1 Tc 0.000 0.250 0.125
Tc2 Tc 0.000 0.250 0.792
```

Output
The calculated volume comes out at 43 Å³/f.u. Its density of states at the Fermi level is 2.994 states/eV/f.u. The total energy comes out at -11.889 eV per atom. As for the total magnetic moment: 0.00 μB/atom.

***

No. 9
Density functional theory data (GGA-PBEsol) for Re5Tc after structural relaxation.

The structure in CIF format:
```
data_Re5Tc
_chemical_formula_sum 'Re10 Tc2'
_symmetry_space_group_name_H-M 'C 1 m 1'
_symmetry_Int_Tables_number 8
_symmetry_space_group_name_Hall 'C -2y'
_cell_length_a 10.065
_cell_length_b 2.749
_cell_length_c 6.502
_cell_angle_alpha 90.00
_cell_angle_beta 104.78
_cell_angle_gamma 90.00
loop_
_atom_site_label
_atom_site_type_symbol
_atom_site_fract_x
_atom_site_fract_y
_atom_site_fract_z
Re1 Re 0.000 0.000 0.000
Re2 Re 0.055 0.000 0.610
Re3 Re 0.221 0.500 0.945
Re4 Re 0.332 0.000 0.666
Re5 Re 0.388 0.000 0.278
Tc1 Tc 0.166 0.500 0.334
```

Output
The calculated volume comes out at 87 Å³/f.u. Its density of states at the Fermi level is 5.178 states/eV/f.u. The total energy comes out at -12.990 eV per atom. As for the total magnetic moment: 0.00 μB/atom.

***

No. 10
Density functional theory data (GGA-PBEsol) for Re5Tc24 after structural relaxation.

The structure in CIF format:
```
data_Re5Tc24
_chemical_formula_sum 'Re10 Tc48'
_symmetry_space_group_name_H-M 'I -4 3 m'
_symmetry_Int_Tables_number 217
_symmetry_space_group_name_Hall 'I -4 2 3'
_cell_length_a 9.390
_cell_length_b 9.390
_cell_length_c 9.390
_cell_angle_alpha 90.00
_cell_angle_beta 90.00
_cell_angle_gamma 90.00
loop_
_atom_site_label
_atom_site_type_symbol
_atom_site_fract_x
_atom_site_fract_y
_atom_site_fract_z
Re1 Re 0.000 0.000 0.000
Re2 Re 0.179 0.179 0.179
Tc1 Tc 0.042 0.357 0.643
Tc2 Tc 0.090 0.090 0.718
```

Output
The calculated volume comes out at 414 Å³/f.u. Its density of states at the Fermi level is 24.011 states/eV/f.u. The total energy comes out at -11.577 eV per atom. As for the total magnetic moment: 0.00 μB/atom.